Entry 1:
## BaIn2As (PBE)

Data for a geometry-optimized BaIn2As structure. Values from VASP.

```
&SYSTEM
  ibrav = 0, nat = 4, ntyp = 3
/
ATOMIC_SPECIES
Ba 137.33 Ba.upf
In 114.82 In.upf
As 74.92 As.upf
ATOMIC_POSITIONS angstrom
Ba 0.000 0.000 0.000
In 0.030 3.107 1.622
In 0.030 -3.107 1.622
As 3.241 0.000 0.000
CELL_PARAMETERS angstrom
3.241 -6.213 0.000
3.241 6.213 0.000
-3.181 0.000 3.243
```

Results
The energy relative to the elements is -0.27 eV per atom. The space group is C2/m. The calculation puts the total energy at -3.2808 eV/atom.

=====

Entry 2:
## CeZnAs2 (PBE)

Data for a geometry-optimized CeZnAs2 structure. Values from VASP.

```
&SYSTEM
  ibrav = 0, nat = 4, ntyp = 3
/
ATOMIC_SPECIES
Ce 140.12 Ce.upf
Zn 65.41 Zn.upf
As 74.92 As.upf
ATOMIC_POSITIONS angstrom
Ce 0.000 0.000 0.000
Zn 2.295 2.295 0.000
As 0.000 2.295 1.925
As 2.295 0.000 1.925
CELL_PARAMETERS angstrom
4.591 0.000 0.000
0.000 4.591 0.000
0.000 0.000 3.850
```

Results
The energy relative to the elements is -0.71 eV per atom. The space group is P4/mmm. The calculation puts the total energy at -4.8368 eV/atom.

=====

Entry 3:
## Pm2SeO (PBE)

Data for a geometry-optimized Pm2SeO structure. Values from VASP.

```
&SYSTEM
  ibrav = 0, nat = 4, ntyp = 3
/
ATOMIC_SPECIES
Pm 145.00 Pm.upf
Se 78.96 Se.upf
O 16.00 O.upf
ATOMIC_POSITIONS angstrom
Pm 0.000 0.000 4.594
Pm 0.000 0.000 15.174
Se 0.000 0.000 0.000
O 0.000 0.000 9.884
CELL_PARAMETERS angstrom
1.900 1.097 6.589
-1.900 1.097 6.589
0.000 -2.194 6.589
```

Results
The space group is R-3m. The calculation puts the total energy at -6.7040 eV/atom. For the energy relative to the elements, uncorrected, the calculation gives -2218 meV per atom.

=====

no.,spin magnetization (μB/cell)
1,0.000
2,0.000
3,0.000